Density functional theory data (PBE with a Hubbard U) for an optimized crystal structure of YMo2F.

a = 5.153 Å, b = 5.153 Å, c = 5.153 Å
α = 60.00°, β = 60.00°, γ = 60.00°
Each line ends with the local moment (μB).
Sites, in units of the cell vectors:
Y 0.500 0.500 0.500  0.20
Mo 0.250 0.250 0.250  3.78
Mo 0.750 0.750 0.750  3.78
F 0.000 0.000 0.000  0.12

magnetic moment: 9.3 Bohr magnetons per cell
crystal system: cubic
excess energy over the best structure of this formula in the dataset: 144 meV/atom
ρ: 5.15 Mg/m³